Entry from Alexandria: Ce2ZrSe6 after structural relaxation (PBE-GGA).

Computed properties:
The total energy comes out at -107.36 eV/cell. The crystal system is tetragonal. As for the space-group type: P4_2/mnm. For the total magnetic moment, the calculation gives 0.60 Bohr magnetons per cell. As for the density of states at the Fermi level: 7.0 states/eV per cell.

a = 6.6252 Å, b = 6.6252 Å, c = 12.5832 Å
α = 90.00°, β = 90.00°, γ = 90.00°
Fractional coordinates of all 18 atoms:
Se: 0.8065 0.1935 0.1556
Se: 0.7042 0.7042 0.0000
Se: 0.6935 0.6935 0.6556
Se: 0.1935 0.8065 0.1556
Se: 0.3065 0.3065 0.6556
Se: 0.2042 0.7958 0.5000
Ce: 0.5000 0.5000 0.1696
Ce: 0.0000 0.0000 0.6696
Se: 0.1935 0.8065 0.8444
Ce: 0.0000 0.0000 0.3304
Zr: 0.5000 0.5000 0.5000
Se: 0.3065 0.3065 0.3444
Se: 0.6935 0.6935 0.3444
Se: 0.7958 0.2042 0.5000
Zr: 0.0000 0.0000 0.0000
Se: 0.8065 0.1935 0.8444
Ce: 0.5000 0.5000 0.8304
Se: 0.2958 0.2958 0.0000